Here is a relaxed LaSiAg crystal from the Alexandria database. Energies are from PBE-GGA.

DOS at the Fermi energy: 3.36 states/eV/cell
Magnetic moment: 0.00 μB per cell
E: -14.18 eV/f.u.
Uncorrected formation energy: -0.97 eV/f.u.

Cell lengths 10.810, 4.482, 6.507 Å; angles 90.00, 114.12, 90.00 degrees
Space group Cm (No. 8)
Asymmetric unit:
1 La 0.000 0.000 0.000 x2
2 La 0.231 0.500 0.520 x2
3 Si 0.202 0.500 0.003 x2
4 Si 0.475 0.000 0.664 x2
5 Ag 0.014 0.000 0.489 x2
6 Ag 0.327 0.000 0.204 x2